VASP calculation (PBE) on a relaxed structure of Li2MnBe.

Values from the calculation:
- Volume: 54 Å³ per cell
- ΔH_f (0 K): 0.178 eV per atom

Cell lengths 2.773, 2.773, 7.072 Å; angles 90.00, 90.00, 90.00 degrees
Space group P4mm (No. 99)
One atom of each set of equivalent atoms:
Li: 0.000 0.000 0.000 x1
Li: 0.500 0.500 0.315 x1
Mn: 0.000 0.000 0.592 x1
Be: 0.500 0.500 0.762 x1

***

VASP calculation (PBE) on a relaxed structure of LaSiMo.

Values from the calculation:
- Volume: 126 Å³ per cell
- Uncorrected formation energy: -0.1257 eV per atom

Cell lengths 3.450, 3.450, 10.604 Å; angles 90.00, 90.00, 90.00 degrees
Space group I4mm (No. 107)
One atom of each set of equivalent atoms:
La: 0.000 0.000 0.000 x2
Si: 0.000 0.000 0.289 x2
Mo: 0.000 0.000 0.720 x2

***

VASP calculation (PBE) on a relaxed structure of Ti2AlW.

Values from the calculation:
- Volume: 64 Å³ per cell
- ΔH_f (0 K): -0.244 eV per atom

Cell lengths 4.325, 4.325, 3.419 Å; angles 90.00, 90.00, 90.00 degrees
Space group P4/mmm (No. 123)
One atom of each set of equivalent atoms:
Ti: 0.000 0.500 0.000 x2
Al: 0.000 0.000 0.500 x1
W: 0.500 0.500 0.500 x1

***

VASP calculation (PBE) on a relaxed structure of BaCu2Ag.

Values from the calculation:
- Volume: 291 Å³ per cell
- ΔH_f (0 K): -0.059 eV per atom

Cell lengths 4.5127, 4.5127, 16.5133 Å; angles 90.00, 90.00, 120.00 degrees
Space group R-3m (No. 166, hexagonal axes)
One atom of each set of equivalent atoms:
Ba: 0.0000 0.0000 0.0000 x3
Cu: 0.0000 0.0000 0.1905 x6
Ag: 0.0000 0.0000 0.5000 x3